SrZnP2O after structural relaxation. Source: the Alexandria database, functional PBE.

The structure in CIF format:
```
data_SrZnP2O
_space_group_name_H-M_alt 'P 4/m m m'
_space_group_IT_number 123
_space_group_name_Hall '-P 4 2'
_cell_length_a 5.714
_cell_length_b 5.714
_cell_length_c 4.414
_cell_angle_alpha 90.00
_cell_angle_beta 90.00
_cell_angle_gamma 90.00
loop_
_atom_site_label
_atom_site_type_symbol
_atom_site_fract_x
_atom_site_fract_y
_atom_site_fract_z
Sr1 Sr 0.000 0.000 0.000
Zn1 Zn 0.500 0.500 0.500
P1 P 0.000 0.500 0.000
O1 O 0.000 0.000 0.500
```

## Properties
relative energy among the computed polymorphs	4.79	eV per formula unit
volume	28.82	Å³ per atom

=====

SrZnPO2 after structural relaxation. Source: the Alexandria database, functional PBE.

The structure in CIF format:
```
data_SrZnPO2
_space_group_name_H-M_alt 'P 4/m m m'
_space_group_IT_number 123
_space_group_name_Hall '-P 4 2'
_cell_length_a 4.248
_cell_length_b 4.248
_cell_length_c 4.447
_cell_angle_alpha 90.00
_cell_angle_beta 90.00
_cell_angle_gamma 90.00
loop_
_atom_site_label
_atom_site_type_symbol
_atom_site_fract_x
_atom_site_fract_y
_atom_site_fract_z
Sr1 Sr 0.000 0.000 0.000
Zn1 Zn 0.500 0.500 0.500
P1 P 0.500 0.500 0.000
O1 O 0.000 0.500 0.500
```

## Properties
relative energy among the computed polymorphs	0.00	eV per formula unit
volume	16.05	Å³ per atom

=====

SrZnPO2 after structural relaxation. Source: the Alexandria database, functional PBE.

The structure in CIF format:
```
data_SrZnPO2
_space_group_name_H-M_alt 'P 4/m m m'
_space_group_IT_number 123
_space_group_name_Hall '-P 4 2'
_cell_length_a 4.433
_cell_length_b 4.433
_cell_length_c 6.637
_cell_angle_alpha 90.00
_cell_angle_beta 90.00
_cell_angle_gamma 90.00
loop_
_atom_site_label
_atom_site_type_symbol
_atom_site_fract_x
_atom_site_fract_y
_atom_site_fract_z
Sr1 Sr 0.000 0.000 0.000
Zn1 Zn 0.500 0.500 0.500
P1 P 0.000 0.000 0.500
O1 O 0.000 0.500 0.000
```

## Properties
relative energy among the computed polymorphs	3.95	eV per formula unit
volume	26.09	Å³ per atom

=====

SrZnP2O6 after structural relaxation. Source: the Alexandria database, functional PBE.

The structure in CIF format:
```
data_SrZnP2O6
_space_group_name_H-M_alt 'R -3'
_space_group_IT_number 148
_space_group_name_Hall '-R 3'
_cell_length_a 5.2118
_cell_length_b 5.2118
_cell_length_c 17.8580
_cell_angle_alpha 90.00
_cell_angle_beta 90.00
_cell_angle_gamma 120.00
loop_
_atom_site_label
_atom_site_type_symbol
_atom_site_fract_x
_atom_site_fract_y
_atom_site_fract_z
Sr1 Sr 0.0000 0.0000 0.0000
Zn1 Zn 0.0000 0.0000 0.5000
P1 P 0.0000 0.0000 0.2563
O1 O 0.0281 0.3027 0.2362
```

## Properties
total DFT energy (no corrections)	-188.42	eV for the cell shown
volume	14.00	Å³ per atom

=====

SrZn2PO6 after structural relaxation. Source: the Alexandria database, functional PBE.

The structure in CIF format:
```
data_SrZn2PO6
_space_group_name_H-M_alt 'C 1 2/c 1'
_space_group_IT_number 15
_cell_length_a 10.606
_cell_length_b 9.563
_cell_length_c 6.573
_cell_angle_alpha 90.00
_cell_angle_beta 120.94
_cell_angle_gamma 90.00
loop_
_space_group_symop_operation_xyz
'x,y,z'
'-x,-y,-z'
'-x,y,-z+1/2'
'x,-y,z+1/2'
'x+1/2,y+1/2,z'
'-x+1/2,-y+1/2,-z'
'-x+1/2,y+1/2,-z+1/2'
'x+1/2,-y+1/2,z+1/2'
loop_
_atom_site_label
_atom_site_type_symbol
_atom_site_fract_x
_atom_site_fract_y
_atom_site_fract_z
Sr1 Sr 0.000 0.179 0.250
Zn1 Zn 0.171 0.446 0.109
P1 P 0.000 0.168 0.750
O1 O 0.087 0.256 0.977
O2 O 0.105 0.072 0.712
O3 O 0.134 0.418 0.371
```

## Properties
total DFT energy (no corrections)	-236.04	eV for the cell shown
volume	14.30	Å³ per atom

=====

SrZnP2O after structural relaxation. Source: the Alexandria database, functional PBE.

The structure in CIF format:
```
data_SrZnP2O
_space_group_name_H-M_alt 'P 4/m m m'
_space_group_IT_number 123
_space_group_name_Hall '-P 4 2'
_cell_length_a 4.785
_cell_length_b 4.785
_cell_length_c 4.218
_cell_angle_alpha 90.00
_cell_angle_beta 90.00
_cell_angle_gamma 90.00
loop_
_atom_site_label
_atom_site_type_symbol
_atom_site_fract_x
_atom_site_fract_y
_atom_site_fract_z
Sr1 Sr 0.000 0.000 0.000
Zn1 Zn 0.500 0.500 0.500
P1 P 0.000 0.500 0.500
O1 O 0.500 0.500 0.000
```

## Properties
relative energy among the computed polymorphs	0.00	eV per formula unit
volume	19.31	Å³ per atom